# 1
This record from the Alexandria database describes crystalline NdErTm2Th at its relaxed geometry. The functional is PBE.

Values from the calculation:
Its total energy is -4.810 eV per atom. Its space-group type is Pmmm. The value obtained for the magnetization is 0.000 μB per cell.

Unit cell a=3.524 b=5.590 c=8.645 alpha=90.00 beta=90.00 gamma=90.00
Element x y z (fractional)
1 Nd 0.000 0.000 0.000
2 Er 0.500 0.000 0.500
3 Tm 0.000 0.500 0.322
4 Tm 0.000 0.500 0.678
5 Th 0.500 0.500 0.000

=====

# 2
This record from the Alexandria database describes crystalline Nd2Er4TmTh at its relaxed geometry. The functional is PBE.

Values from the calculation:
Its total energy is -4.843 eV per atom. Its space-group type is Pmmm. The value obtained for the magnetization is 0.000 μB per cell.

Unit cell a=5.837 b=5.848 c=7.506 alpha=90.00 beta=90.00 gamma=90.00
Element x y z (fractional)
1 Nd 0.000 0.000 0.000
2 Nd 0.500 0.500 0.500
3 Er 0.000 0.500 0.249
4 Er 0.000 0.500 0.751
5 Er 0.500 0.000 0.248
6 Er 0.500 0.000 0.752
7 Tm 0.500 0.500 0.000
8 Th 0.000 0.000 0.500